# TbPm15Ho4

Crystalline TbPm15Ho4 at its relaxed geometry (PBE, the Alexandria database).

Structure (extended XYZ):
```
20
Lattice="5.1267 0.0000 0.0000 0.0000 5.1267 0.0000 0.0000 0.0000 25.5133" Properties=species:S:1:pos:R:3 pbc="T T T"
Tb 0.0000 0.0000 0.0000
Pm 0.0000 2.5633 2.5595
Pm 0.0000 2.5633 7.6564
Pm 0.0000 2.5633 12.7567
Pm 0.0000 2.5633 17.8569
Pm 0.0000 2.5633 22.9538
Pm 2.5633 0.0000 2.5595
Pm 2.5633 0.0000 7.6564
Pm 2.5633 0.0000 12.7567
Pm 2.5633 0.0000 17.8569
Pm 2.5633 0.0000 22.9538
Pm 2.5633 2.5633 0.0000
Pm 2.5633 2.5633 5.1101
Pm 2.5633 2.5633 10.2062
Pm 2.5633 2.5633 15.3071
Pm 2.5633 2.5633 20.4032
Ho 0.0000 0.0000 5.1090
Ho 0.0000 0.0000 10.2063
Ho 0.0000 0.0000 15.3070
Ho 0.0000 0.0000 20.4044
```

Output
E (Ry per atom): -0.3452
Energy of formation from the pure elements (meV per atom): 13
M_tot (μB/cell): 0.00
Space group: No. 123



# Tb5Pm5Ho2

Crystalline Tb5Pm5Ho2 at its relaxed geometry (PBE, the Alexandria database).

Structure (extended XYZ):
```
12
Lattice="7.6226 -2.5352 0.0000 7.6226 2.5352 0.0000 -5.0896 0.0000 10.1703" Properties=species:S:1:pos:R:3 pbc="T T T"
Tb 0.0000 0.0000 0.0000
Tb 0.0006 0.0000 5.0906
Tb 2.5482 0.0000 2.5610
Tb 7.6073 0.0000 7.6092
Tb 10.1550 0.0000 5.0796
Pm 5.0850 0.0000 0.0043
Pm 2.5342 0.0000 7.6237
Pm 5.0778 0.0000 5.0851
Pm 7.6213 0.0000 2.5465
Pm 5.0706 0.0000 10.1659
Ho -2.5415 0.0000 7.6209
Ho 12.6970 0.0000 2.5494
```

Output
E (Ry per atom): -0.3422
Energy of formation from the pure elements (meV per atom): 16
M_tot (μB/cell): 0.00
Space group: No. 12



# TbPm5Ho2

Crystalline TbPm5Ho2 at its relaxed geometry (PBE, the Alexandria database).

Structure (extended XYZ):
```
16
Lattice="7.2131 0.0000 0.0000 0.0000 14.4280 0.0000 0.0000 0.0000 5.0986" Properties=species:S:1:pos:R:3 pbc="T T T"
Tb 0.0000 0.0000 0.0000
Tb 3.6066 7.2140 0.0000
Pm 7.2118 3.5972 0.0000
Pm 0.0000 7.2140 0.0000
Pm 0.0013 10.8308 0.0000
Pm 1.7980 1.7962 2.5493
Pm 1.8085 9.0102 2.5493
Pm 3.6066 0.0000 0.0000
Pm 3.6053 3.6168 0.0000
Pm 3.6078 10.8113 0.0000
Pm 5.4046 5.4178 2.5493
Pm 5.4151 12.6318 2.5493
Ho 1.8049 5.4209 2.5493
Ho 1.8017 12.6349 2.5493
Ho 5.4114 1.7931 2.5493
Ho 5.4083 9.0072 2.5493
```

Output
Energy relative to the lowest polymorph listed for this composition (meV/atom): 0
E (Ry per atom): -0.3437
Energy of formation from the pure elements (meV per atom): 16
M_tot (μB/cell): 0.00
Space group: No. 55



# Tb8Pm3Ho3

Crystalline Tb8Pm3Ho3 at its relaxed geometry (PBE, the Alexandria database).

Structure (extended XYZ):
```
14
Lattice="-2.8275 5.4173 7.4958 2.8275 -5.4173 7.4958 2.8275 5.4173 -7.4958" Properties=species:S:1:pos:R:3 pbc="T T T"
Tb 2.8275 -3.6991 5.9517
Tb 2.8275 -1.7294 3.3177
Tb 0.0000 1.7182 1.5441
Tb 2.8275 1.7294 3.3177
Tb 0.0000 3.6879 4.1781
Tb 2.8275 3.6991 5.9517
Tb 0.0000 7.1467 4.1781
Tb 0.0000 9.1164 1.5441
Pm 0.0000 0.0000 4.7776
Pm 0.0000 5.4173 0.0000
Pm 0.0000 0.0000 10.2139
Ho 2.8275 0.0000 0.0000
Ho 2.8275 3.2052 0.0000
Ho 0.0000 2.2121 7.4958
```

Output
Energy relative to the lowest polymorph listed for this composition (meV/atom): 0
E (Ry per atom): -0.3336
Energy of formation from the pure elements (meV per atom): 106
M_tot (μB/cell): 0.00
Space group: No. 71